No. 1
# La3Ho3PuS8

A relaxed structure of La3Ho3PuS8 (PBE, Alexandria via LeMat-Bulk).

## Properties
D(E_F) in states/eV/f.u.: 14.16
Formation energy from raw total energies in meV per atom: -2046

Lattice parameters (Å, degrees): 7.9475 7.9475 20.0342 90.00 90.00 120.00
Closest atoms and distances in Å follow each position.
Space group R-3m (No. 166, hexagonal axes)
Symmetry-distinct sites (fractional):
La  0.0000  0.5000  0.0000 (multiplicity 9)  6 S 2.92
Ho  0.0000  0.5000  0.5000 (multiplicity 9)  6 S 2.76
Pu  0.0000  0.0000  0.5000 (multiplicity 3)  6 S 2.82
S  0.0000  0.0000  0.2430 (multiplicity 6)  3 Ho 2.76, 3 La 2.92
S  0.0069  0.5035  0.7554 (multiplicity 18)  2 Ho 2.76, 1 Pu 2.82, 2 La 2.92


No. 2
# MnBeInGa2

A relaxed structure of MnBeInGa2 (PBE, Alexandria via LeMat-Bulk).

## Properties
Offset from the most stable computed form in eV/atom: 0.2980
D(E_F) in states/eV/f.u.: 8.28
Energy relative to the elements in eV/atom: 1.550

Lattice parameters (Å, degrees): 5.1923 5.1923 4.4213 90.00 90.00 90.00
Closest atoms and distances in Å follow each position.
Space group P4/mmm (No. 123)
Symmetry-distinct sites (fractional):
Mn  0.0000  0.0000  0.0000 (multiplicity 1)  8 Ga 3.41, 4 Be 3.67
Be  0.5000  0.5000  0.0000 (multiplicity 1)  2 In 2.21
In  0.5000  0.5000  0.5000 (multiplicity 1)  2 Be 2.21
Ga  0.0000  0.5000  0.5000 (multiplicity 2)  2 In 2.60


No. 3
# PPbWCl2

A relaxed structure of PPbWCl2 (PBE, Alexandria via LeMat-Bulk).

## Properties
Offset from the most stable computed form in eV/atom: 1.0406
D(E_F) in states/eV/f.u.: 7.26
Formation energy from raw total energies in meV per atom: 1269

Lattice parameters (Å, degrees): 5.1979 5.1979 5.5449 90.00 90.00 90.00
Closest atoms and distances in Å follow each position.
Space group P4/mmm (No. 123)
Symmetry-distinct sites (fractional):
P  0.0000  0.0000  0.0000 (multiplicity 1)  2 Pb 2.77
Pb  0.0000  0.0000  0.5000 (multiplicity 1)  4 Cl 2.60, 2 P 2.77
W  0.5000  0.5000  0.0000 (multiplicity 1)  4 P 3.68, 8 Cl 3.80
Cl  0.0000  0.5000  0.5000 (multiplicity 2)  2 Pb 2.60


No. 4
# PuMgSe2

A relaxed structure of PuMgSe2 (PBE, Alexandria via LeMat-Bulk).

## Properties
Offset from the most stable computed form in eV/atom: 0.0566
D(E_F) in states/eV/f.u.: 9.18
Formation energy from raw total energies in meV per atom: -1283

Lattice parameters (Å, degrees): 4.0060 4.0060 20.3110 90.00 90.00 120.00
Closest atoms and distances in Å follow each position.
Space group R-3m (No. 166, hexagonal axes)
Symmetry-distinct sites (fractional):
Pu  0.0000  0.0000  0.0000 (multiplicity 3)  6 Se 2.97
Mg  0.0000  0.0000  0.5000 (multiplicity 3)  6 Se 2.77
Se  0.0000  0.0000  0.2418 (multiplicity 6)  3 Mg 2.77, 3 Pu 2.97


No. 5
# YMgF2

A relaxed structure of YMgF2 (PBE, Alexandria via LeMat-Bulk).

## Properties
Offset from the most stable computed form in eV/atom: 0.6257
D(E_F) in states/eV/f.u.: 2.93
Formation energy from raw total energies in meV per atom: -1674

Lattice parameters (Å, degrees): 6.4452 6.4452 6.4452 90.00 90.00 90.00
Closest atoms and distances in Å follow each position.
Space group Fm-3m (No. 225)
Symmetry-distinct sites (fractional):
Y  0.0000  0.0000  0.0000 (multiplicity 4)  8 F 2.79
Mg  0.0000  0.0000  0.5000 (multiplicity 4)  8 F 2.79
F  0.2500  0.2500  0.2500 (multiplicity 8)  4 Mg 2.79, 4 Y 2.79


No. 6
# Hg3RuC

A relaxed structure of Hg3RuC (PBE, Alexandria via LeMat-Bulk).

## Properties
Offset from the most stable computed form in eV/atom: 0.3790
D(E_F) in states/eV/f.u.: 8.86
Energy relative to the elements in eV/atom: 1.918

Lattice parameters (Å, degrees): 5.2751 5.2751 5.2751 90.00 90.00 90.00
Closest atoms and distances in Å follow each position.
Space group Pm-3m (No. 221)
Symmetry-distinct sites (fractional):
Hg  0.0000  0.0000  0.5000 (multiplicity 3)  2 Ru 2.64
Ru  0.0000  0.0000  0.0000 (multiplicity 1)  6 Hg 2.64
C  0.5000  0.5000  0.5000 (multiplicity 1)  12 Hg 3.73


No. 7
# CdHg3Pt

A relaxed structure of CdHg3Pt (PBE, Alexandria via LeMat-Bulk).

## Properties
Offset from the most stable computed form in eV/atom: 0.0000
D(E_F) in states/eV/f.u.: 1.16
Energy relative to the elements in eV/atom: 0.059

Lattice parameters (Å, degrees): 5.3317 5.3317 5.3317 90.00 90.00 90.00
Closest atoms and distances in Å follow each position.
Space group Pm-3m (No. 221)
Symmetry-distinct sites (fractional):
Cd  0.0000  0.0000  0.0000 (multiplicity 1)  12 Hg 3.77
Hg  0.0000  0.5000  0.5000 (multiplicity 3)  2 Pt 2.67
Pt  0.5000  0.5000  0.5000 (multiplicity 1)  6 Hg 2.67


No. 8
# La4SiOsCl2

A relaxed structure of La4SiOsCl2 (PBE, Alexandria via LeMat-Bulk).

## Properties
D(E_F) in states/eV/f.u.: 5.33
Formation energy from raw total energies in meV per atom: -1086

Lattice parameters (Å, degrees): 7.5044 4.2377 7.7401 90.00 107.36 90.00
Closest atoms and distances in Å follow each position.
Space group P2/m (No. 10)
Symmetry-distinct sites (fractional):
La  0.2276  0.0000  0.2128 (multiplicity 2)  2 Os 2.91, 1 Si 2.98, 1 Cl 3.18
La  0.2423  0.5000  0.7923 (multiplicity 2)  1 Os 2.76, 2 Si 2.99
Si  0.5000  0.0000  0.0000 (multiplicity 1)  6 La 2.98-2.99
Os  0.0000  0.5000  0.0000 (multiplicity 1)  6 La 2.76-2.91
Cl  0.0000  0.0000  0.5000 (multiplicity 1)  6 La 3.18-3.23
Cl  0.5000  0.5000  0.5000 (multiplicity 1)  6 La 3.30-3.39